Entry a
## VW3C (GGA-PBE)

Data for VW3C after structural relaxation.

Results
DOS(E_F) ... 4.02 states/eV/cell

abc: 4.505 4.505 4.505
angles: 90.00 90.00 90.00
Atoms (fractional coordinates):
C 0.500 0.500 0.500
W 0.000 0.500 0.000
W 0.000 0.000 0.500
W 0.500 0.000 0.000
V 0.000 0.000 0.000


Entry b
## VW3C (GGA-PBE)

Data for VW3C after structural relaxation.

Results
DOS(E_F) ... 4.18 states/eV/cell

abc: 4.145 4.145 4.145
angles: 90.00 90.00 90.00
Atoms (fractional coordinates):
C 0.000 0.000 0.000
W 0.000 0.500 0.000
W 0.000 0.000 0.500
W 0.500 0.000 0.000
V 0.500 0.500 0.500


Verdict on stability: entry a comes out at the bottom.


Entry a
## YV2C2 (GGA-PBE)

Data for YV2C2 after structural relaxation.

Results
DOS(E_F) ... 5.32 states/eV/cell

abc: 6.322 6.322 2.964
angles: 90.00 90.00 90.00
Atoms (fractional coordinates):
Y 0.000 0.000 0.000
Y 0.500 0.500 0.000
C 0.372 0.872 0.000
C 0.872 0.628 0.000
C 0.628 0.128 0.000
C 0.128 0.372 0.000
V 0.135 0.635 0.500
V 0.635 0.865 0.500
V 0.865 0.365 0.500
V 0.365 0.135 0.500


Entry b
## YV2C2 (GGA-PBE)

Data for YV2C2 after structural relaxation.

Results
DOS(E_F) ... 3.43 states/eV/cell

abc: 3.444 3.444 5.870
angles: 72.94 72.94 90.00
Atoms (fractional coordinates):
Y 0.000 0.000 0.000
C 0.364 0.364 0.272
C 0.636 0.636 0.728
V 0.750 0.250 0.500
V 0.250 0.750 0.500


Verdict on stability: entry a comes out at the bottom.


Entry a
## V3ZnC (GGA-PBE)

Data for V3ZnC after structural relaxation.

Results
DOS(E_F) ... 5.04 states/eV/cell

abc: 3.975 3.975 3.975
angles: 90.00 90.00 90.00
Atoms (fractional coordinates):
Zn 0.500 0.500 0.500
C 0.000 0.000 0.000
V 0.000 0.500 0.000
V 0.000 0.000 0.500
V 0.500 0.000 0.000


Entry b
## V3ZnC (GGA-PBE)

Data for V3ZnC after structural relaxation.

Results
DOS(E_F) ... 7.05 states/eV/cell

abc: 2.911 5.334 8.173
angles: 90.00 90.00 105.82
Atoms (fractional coordinates):
V 0.871 0.741 0.531
V 0.129 0.259 0.469
V 0.129 0.259 0.031
V 0.871 0.741 0.969
V 0.466 0.931 0.250
V 0.534 0.069 0.750
Zn 0.749 0.500 0.250
Zn 0.251 0.500 0.750
C 0.500 0.000 0.000
C 0.500 0.000 0.500


Verdict on stability: entry a comes out at the bottom.


Entry a
## ZrV2C2 (GGA-PBE)

Data for ZrV2C2 after structural relaxation.

Results
DOS(E_F) ... 7.80 states/eV/cell

abc: 6.359 6.359 2.740
angles: 90.00 90.00 90.00
Atoms (fractional coordinates):
C 0.163 0.663 0.500
C 0.663 0.837 0.500
C 0.837 0.337 0.500
C 0.337 0.163 0.500
Zr 0.000 0.000 0.000
Zr 0.500 0.500 0.000
V 0.374 0.874 0.000
V 0.874 0.626 0.000
V 0.626 0.126 0.000
V 0.126 0.374 0.000


Entry b
## ZrV2C2 (GGA-PBE)

Data for ZrV2C2 after structural relaxation.

Results
DOS(E_F) ... 1.55 states/eV/cell

abc: 3.883 3.883 4.768
angles: 65.97 65.97 90.00
Atoms (fractional coordinates):
C 0.750 0.250 0.500
C 0.250 0.750 0.500
Zr 0.000 0.000 0.000
V 0.332 0.332 0.336
V 0.668 0.668 0.664


Verdict on stability: entry a comes out at the bottom.


Entry a
## ZrVC (GGA-PBE)

Data for ZrVC after structural relaxation.

Results
DOS(E_F) ... 6.28 states/eV/cell

abc: 3.612 6.246 7.974
angles: 93.39 103.09 90.00
Atoms (fractional coordinates):
Zr 0.906 0.644 0.811
Zr 0.577 0.833 0.154
Zr 0.423 0.167 0.846
Zr 0.094 0.356 0.189
V 0.759 0.366 0.519
V 0.239 0.112 0.477
V 0.241 0.634 0.481
V 0.761 0.888 0.523
C 0.670 0.590 0.340
C 0.337 0.866 0.674
C 0.330 0.410 0.660
C 0.663 0.134 0.326


Entry b
## ZrVC (GGA-PBE)

Data for ZrVC after structural relaxation.

Results
DOS(E_F) ... 2.98 states/eV/cell

abc: 4.993 3.123 3.123
angles: 120.00 90.00 90.00
Last column: magnetic moment on the atom in μB.
Atoms (fractional coordinates):
C 0.304 0.333 0.667  0.00
Zr 0.592 0.667 0.333  0.11
V 0.103 0.000 0.000  0.31


Verdict on stability: entry a comes out at the bottom.


Entry a
## Zr3VC (GGA-PBE)

Data for Zr3VC after structural relaxation.

Results
DOS(E_F) ... 6.92 states/eV/cell

abc: 4.782 4.782 4.782
angles: 90.00 90.00 90.00
Atoms (fractional coordinates):
C 0.500 0.500 0.500
Zr 0.000 0.500 0.000
Zr 0.000 0.000 0.500
Zr 0.500 0.000 0.000
V 0.000 0.000 0.000


Entry b
## Zr3VC (GGA-PBE)

Data for Zr3VC after structural relaxation.

Results
DOS(E_F) ... 4.34 states/eV/cell

abc: 4.553 4.553 4.553
angles: 90.00 90.00 90.00
Last column: magnetic moment on the atom in μB.
Atoms (fractional coordinates):
C 0.000 0.000 0.000  0.01
Zr 0.000 0.500 0.000  -0.08
Zr 0.000 0.000 0.500  -0.08
Zr 0.500 0.000 0.000  -0.08
V 0.500 0.500 0.500  1.96


Verdict on stability: entry a comes out at the bottom.